VASP calculation (PBE-GGA) on crystalline Hg2BiI2Br2 at its relaxed geometry.

Unit cell a=4.412 b=8.641 c=9.381 alpha=64.31 beta=89.98 gamma=75.22
Fractional positions:
Bi1 0.000 0.000 0.000
Br1 0.200 0.601 0.620
Br2 0.800 0.399 0.380
I1 0.432 0.135 0.156
Hg1 0.175 0.651 0.292
Hg2 0.825 0.349 0.708
I2 0.568 0.865 0.844

The total energy comes out at -1.87 eV per atom. As for the formation energy from raw total energies: -306 meV/atom. The calculated volume comes out at 309.08 Å³/cell.